The following is a PBE-GGA calculation of PaAgBiO6 after structural relaxation, from Alexandria.

N(E_F): 0.628 states/eV per atom
ρ: 8.137 Mg/m³
E_form (uncorrected): -1599 meV/atom
magnetic moment: 0.1168 μB/atom

```
PaAgBiO6
1.0
4.901 0.000 0.000
0.000 5.564 0.000
0.000 -2.782 4.819
Pa Ag Bi O
1 1 1 6
direct
0.000 0.333 0.667
0.500 0.667 0.333
0.500 0.000 0.000
0.747 0.669 0.689
0.747 0.311 0.980
0.747 0.020 0.331
0.253 0.311 0.331
0.253 0.669 0.980
0.253 0.020 0.689
```

The following is a PBE-GGA calculation of PaAg2BiO8 after structural relaxation, from Alexandria.

N(E_F): 0.559 states/eV per atom
ρ: 7.323 Mg/m³
E_form (uncorrected): -1016 meV/atom
magnetic moment: 0.0000 μB/atom

```
PaAg2BiO8
1.0
-4.097 -4.082 -2.049
5.150 -3.044 1.362
-2.157 2.876 4.973
Pa Ag Bi O
1 2 1 8
direct
0.250 0.750 0.500
0.750 0.250 0.500
0.500 0.500 0.000
0.000 0.000 0.000
0.341 0.023 0.318
0.264 0.447 0.183
0.264 0.081 0.817
0.705 0.023 0.682
0.919 0.736 0.183
0.977 0.295 0.318
0.977 0.659 0.682
0.553 0.736 0.817
```

The following is a PBE-GGA calculation of PaAg2BiO6 after structural relaxation, from Alexandria.

ρ: 8.550 Mg/m³
E_form (uncorrected): -1528 meV/atom
magnetic moment: 0.0000 μB/atom

```
PaAg2BiO6
1.0
5.811 0.000 -0.016
0.000 6.077 0.000
0.029 0.000 8.268
Pa Ag Bi O
2 4 2 12
direct
0.500 0.000 0.000
0.000 0.500 0.500
0.016 0.000 0.250
0.516 0.500 0.750
0.984 0.000 0.750
0.484 0.500 0.250
0.500 0.000 0.500
0.000 0.500 0.000
0.248 0.748 0.063
0.748 0.752 0.563
0.752 0.252 0.937
0.252 0.248 0.437
0.252 0.752 0.437
0.752 0.748 0.937
0.748 0.248 0.563
0.248 0.252 0.063
0.880 0.500 0.249
0.380 0.000 0.749
0.120 0.500 0.751
0.620 0.000 0.251
```